## Li2MgCr (meta-GGA SCAN)

Data for a crystal of Li2MgCr relaxed with PBEsol.

The structure belongs to space group P4/mmm (No. 123); the cell edges are 4.1629, 4.1629 and 4.2518 Å and the angles 90.00°, 90.00° and 90.00°. The asymmetric unit holds Li at (0.0000, 0.5000, 0.0000), Mg at (0.0000, 0.0000, 0.5000) and Cr at (0.5000, 0.5000, 0.5000).

Its calculated total energy is -6.861 eV per atom. The density of states at the Fermi level comes out at 0.43 states/eV per atom. The value obtained for the magnetic moment is 4.71 μB per cell. The value obtained for the formation energy is 0.17 eV per atom.